[1]
This record from Alexandria via LeMat-Bulk describes a PBEsol-optimized structure of K2CuSb. The functional is meta-GGA SCAN.

Formation energy without anion corrections: 0.1106 eV per atom
Magnetic moment: 0.0000 μB/atom
SG: No. 139
Crystal system: tetragonal

Lattice parameters (Å, degrees): 4.5526 4.5526 6.1002 111.91 111.91 90.00
With the nearest neighbours (Å) after each atom.
Atoms (fractional coordinates):
Cu 0.0000 0.0000 0.0000  4 Sb 3.22, 8 K 3.45
K 0.7500 0.2500 0.5000  4 K 3.22, 4 Sb 3.45, 4 Cu 3.45
K 0.2500 0.7500 0.5000  4 K 3.22, 4 Sb 3.45, 4 Cu 3.45
Sb 0.5000 0.5000 0.0000  4 Cu 3.22, 8 K 3.45


[2]
This record from Alexandria via LeMat-Bulk describes a PBEsol-optimized structure of RbZr3Be. The functional is meta-GGA SCAN.

Magnetic moment: 0.0000 μB/atom
SG: No. 221
E_form: 932 meV/atom
Crystal system: cubic

Lattice parameters (Å, degrees): 4.9358 4.9358 4.9358 90.00 90.00 90.00
With the nearest neighbours (Å) after each atom.
Atoms (fractional coordinates):
Be 0.0000 0.0000 0.0000  6 Zr 2.47
Rb 0.5000 0.5000 0.5000  12 Zr 3.49
Zr 0.0000 0.5000 0.0000  2 Be 2.47
Zr 0.0000 0.0000 0.5000  2 Be 2.47
Zr 0.5000 0.0000 0.0000  2 Be 2.47


[3]
This record from Alexandria via LeMat-Bulk describes a PBEsol-optimized structure of Rh2WBr. The functional is meta-GGA SCAN.

Formation energy without anion corrections: 0.8490 eV per atom
Magnetic moment: 0.0000 μB/atom
SG: No. 47
Offset from the most stable computed form: 0.981 eV per formula unit
Crystal system: orthorhombic

Lattice parameters (Å, degrees): 2.8793 4.5140 4.6294 90.00 90.00 90.00
With the nearest neighbours (Å) after each atom.
Atoms (fractional coordinates):
Br 0.0000 0.5000 0.5000  4 Rh 2.68, 4 W 2.73, 2 Br 2.88
Rh 0.0000 0.0000 0.0000  4 W 2.68, 6 Rh 2.73-2.88
Rh 0.5000 0.0000 0.5000  4 Br 2.68, 6 Rh 2.73-2.88
W 0.5000 0.5000 0.0000  4 Rh 2.68, 4 Br 2.73, 2 W 2.88


[4]
This record from Alexandria via LeMat-Bulk describes a PBEsol-optimized structure of HW3F. The functional is meta-GGA SCAN.

Magnetic moment: 0.0009 μB/atom
SG: No. 221
Calculated total energy: -42.3121 eV per atom
Crystal system: cubic

Lattice parameters (Å, degrees): 3.9691 3.9691 3.9691 90.00 90.00 90.00
With the nearest neighbours (Å) after each atom.
Atoms (fractional coordinates):
H 0.0000 0.0000 0.0000  6 W 1.98
W 0.0000 0.5000 0.0000  2 H 1.98
W 0.0000 0.0000 0.5000  2 H 1.98
W 0.5000 0.0000 0.0000  2 H 1.98
F 0.5000 0.5000 0.5000  12 W 2.81


[5]
This record from Alexandria via LeMat-Bulk describes a PBEsol-optimized structure of SnHgPCl2. The functional is meta-GGA SCAN.

Formation energy without anion corrections: 0.0000 eV per atom
Magnetic moment: 0.3852 μB/atom
SG: No. 123
Crystal system: tetragonal

Lattice parameters (Å, degrees): 5.0565 5.0565 5.1968 90.00 90.00 90.00
With the nearest neighbours (Å) after each atom.
Atoms (fractional coordinates):
P 0.0000 0.0000 0.5000  2 Sn 2.60
Cl 0.0000 0.5000 0.0000  2 Sn 2.53
Cl 0.5000 0.0000 0.0000  2 Sn 2.53
Hg 0.5000 0.5000 0.5000  4 P 3.58, 8 Cl 3.63
Sn 0.0000 0.0000 0.0000  4 Cl 2.53, 2 P 2.60


[6]
This record from Alexandria via LeMat-Bulk describes a PBEsol-optimized structure of KMn2Zn3Si12O30. The functional is meta-GGA SCAN.

Formation energy without anion corrections: -2.7571 eV per atom
Magnetic moment: 0.1875 μB/atom
SG: No. 192
Crystal system: hexagonal

Lattice parameters (Å, degrees): 10.1905 10.1905 14.3669 90.00 90.00 120.00
With the nearest neighbours (Å) after each atom.
Atoms (fractional coordinates):
K 0.0000 0.0000 0.7492  12 O 3.06
K 0.0000 0.0000 0.2492  12 O 3.06
Mn 0.3333 0.6667 0.7494  6 O 2.07
Mn 0.3333 0.6667 0.2494  6 O 2.07
Mn 0.6667 0.3333 0.7494  6 O 2.07
Mn 0.6667 0.3333 0.2494  6 O 2.07
Zn 0.5000 0.0000 0.2495  4 O 1.95
Zn 0.0000 0.5000 0.7495  4 O 1.95
Zn 0.0000 0.5000 0.2495  4 O 1.95
Zn 0.5000 0.5000 0.2495  4 O 1.95
Zn 0.5000 0.0000 0.7495  4 O 1.95
Zn 0.5000 0.5000 0.7495  4 O 1.95
Si 0.1151 0.7626 0.6096  4 O 1.61-1.64
Si 0.6475 0.7626 0.8894  4 O 1.61-1.64
Si 0.7626 0.1151 0.1096  4 O 1.61-1.64
Si 0.1151 0.3525 0.1096  4 O 1.61-1.64
Si 0.7626 0.6475 0.6096  4 O 1.61-1.64
Si 0.3525 0.2374 0.8894  4 O 1.61-1.64
Si 0.8849 0.2374 0.6096  4 O 1.61-1.64
Si 0.2374 0.3525 0.3894  4 O 1.61-1.64
Si 0.1151 0.3525 0.8894  4 O 1.61-1.64
Si 0.7626 0.1151 0.8894  4 O 1.61-1.64
Si 0.1151 0.7626 0.3894  4 O 1.61-1.64
Si 0.2374 0.8849 0.1096  4 O 1.61-1.64
Si 0.6475 0.8849 0.6096  4 O 1.61-1.64
Si 0.8849 0.6475 0.1096  4 O 1.61-1.64
Si 0.8849 0.6475 0.8894  4 O 1.61-1.64
Si 0.6475 0.7626 0.1096  4 O 1.61-1.64
Si 0.2374 0.3525 0.6096  4 O 1.61-1.64
Si 0.7626 0.6475 0.3894  4 O 1.61-1.64
Si 0.6475 0.8849 0.3894  4 O 1.61-1.64
Si 0.3525 0.1151 0.3894  4 O 1.61-1.64
Si 0.3525 0.2374 0.1096  4 O 1.61-1.64
Si 0.2374 0.8849 0.8894  4 O 1.61-1.64
Si 0.3525 0.1151 0.6096  4 O 1.61-1.64
Si 0.8849 0.2374 0.3894  4 O 1.61-1.64
O 0.3919 0.1289 0.4995  2 Si 1.62
O 0.9422 0.7228 0.6353  2 Si 1.63-1.64
O 0.3919 0.2630 0.9995  2 Si 1.62
O 0.3423 0.4995 0.3267  1 Si 1.61
O 0.8429 0.3424 0.6722  1 Si 1.61
O 0.1571 0.6576 0.6722  1 Si 1.61
O 0.0578 0.7805 0.8637  2 Si 1.63-1.64
O 0.8429 0.5005 0.8267  1 Si 1.61
O 0.2772 0.2195 0.3637  2 Si 1.63-1.64
O 0.8711 0.6081 0.9995  2 Si 1.62
O 0.7806 0.7228 0.1353  2 Si 1.63-1.64
O 0.8711 0.2630 0.4995  2 Si 1.62
O 0.1289 0.7370 0.4995  2 Si 1.62
O 0.7228 0.7805 0.3637  2 Si 1.63-1.64
O 0.2630 0.3919 0.4995  2 Si 1.62
O 0.0578 0.7806 0.1353  2 Si 1.63-1.64
O 0.8429 0.3423 0.3267  1 Si 1.61
O 0.4995 0.1571 0.3267  1 Si 1.61
O 0.5005 0.8429 0.6722  1 Si 1.61
O 0.7228 0.9422 0.8637  2 Si 1.63-1.64
O 0.5005 0.8429 0.3267  1 Si 1.61
O 0.1289 0.3919 0.9995  2 Si 1.62
O 0.9422 0.7228 0.3637  2 Si 1.63-1.64
O 0.7805 0.7228 0.8637  2 Si 1.63-1.64
O 0.2195 0.2772 0.8637  2 Si 1.63-1.64
O 0.3423 0.8429 0.8267  1 Si 1.61
O 0.5005 0.6577 0.8267  1 Si 1.61
O 0.6577 0.1571 0.8267  1 Si 1.61
O 0.7370 0.6081 0.4995  2 Si 1.62
O 0.7806 0.0578 0.6353  2 Si 1.63-1.64
O 0.7228 0.7806 0.6353  2 Si 1.63-1.64
O 0.2194 0.2772 0.1353  2 Si 1.63-1.64
O 0.7805 0.0578 0.3637  2 Si 1.63-1.64
O 0.2772 0.0578 0.1353  2 Si 1.63-1.64
O 0.5005 0.6576 0.1722  1 Si 1.61
O 0.3424 0.8429 0.1722  1 Si 1.61
O 0.0578 0.2772 0.6353  2 Si 1.63-1.64
O 0.9422 0.2195 0.8637  2 Si 1.63-1.64
O 0.8429 0.5005 0.1722  1 Si 1.61
O 0.6081 0.7370 0.9995  2 Si 1.62
O 0.2772 0.2194 0.6353  2 Si 1.63-1.64
O 0.1571 0.6577 0.3267  1 Si 1.61
O 0.2194 0.9422 0.6353  2 Si 1.63-1.64
O 0.2772 0.0578 0.8637  2 Si 1.63-1.64
O 0.6576 0.1571 0.1722  1 Si 1.61
O 0.1571 0.4995 0.8267  1 Si 1.61
O 0.4995 0.3423 0.8267  1 Si 1.61
O 0.3424 0.4995 0.6722  1 Si 1.61
O 0.9422 0.2194 0.1353  2 Si 1.63-1.64
O 0.0578 0.2772 0.3637  2 Si 1.63-1.64
O 0.6577 0.5005 0.3267  1 Si 1.61
O 0.2195 0.9422 0.3637  2 Si 1.63-1.64
O 0.4995 0.3424 0.1722  1 Si 1.61
O 0.7370 0.1289 0.9995  2 Si 1.62
O 0.1571 0.4995 0.1722  1 Si 1.61
O 0.6081 0.8711 0.4995  2 Si 1.62
O 0.4995 0.1571 0.6722  1 Si 1.61
O 0.7228 0.9422 0.1353  2 Si 1.63-1.64
O 0.6576 0.5005 0.6722  1 Si 1.61
O 0.2630 0.8711 0.9995  2 Si 1.62


[7]
This record from Alexandria via LeMat-Bulk describes a PBEsol-optimized structure of KZnAg2. The functional is meta-GGA SCAN.

Magnetic moment: 0.0000 μB/atom
SG: No. 47
E_form: 342 meV/atom
Crystal system: orthorhombic

Lattice parameters (Å, degrees): 2.9319 5.2114 5.3132 90.00 90.00 90.00
With the nearest neighbours (Å) after each atom.
Atoms (fractional coordinates):
Ag 0.0000 0.0000 0.0000  6 Ag 2.93-3.03, 4 K 2.99
Ag 0.5000 0.0000 0.5000  6 Ag 2.93-3.03, 4 Zn 2.99
K 0.5000 0.5000 0.0000  2 K 2.93, 4 Ag 2.99, 4 Zn 3.03
Zn 0.0000 0.5000 0.5000  2 Zn 2.93, 4 Ag 2.99, 4 K 3.03


[8]
This record from Alexandria via LeMat-Bulk describes a PBEsol-optimized structure of InCuPO5. The functional is meta-GGA SCAN.

Formation energy without anion corrections: -1.9017 eV per atom
Magnetic moment: 0.1250 μB/atom
SG: No. 62
Crystal system: orthorhombic

Lattice parameters (Å, degrees): 6.6398 7.2684 7.8487 90.00 90.00 90.00
With the nearest neighbours (Å) after each atom.
Atoms (fractional coordinates):
In 0.2500 0.2117 0.1776  6 O 2.09-2.26
In 0.7500 0.7117 0.3224  6 O 2.09-2.26
In 0.7500 0.7883 0.8224  6 O 2.09-2.26
In 0.2500 0.2883 0.6776  6 O 2.09-2.26
Cu 0.0000 0.0000 0.5000  4 O 1.96-1.97
Cu 0.5000 0.5000 0.0000  4 O 1.96-1.97
Cu 0.0000 0.5000 0.0000  4 O 1.96-1.97
Cu 0.5000 0.0000 0.5000  4 O 1.96-1.97
P 0.2500 0.6420 0.3949  4 O 1.52-1.57
P 0.7500 0.1420 0.1051  4 O 1.52-1.57
P 0.7500 0.3580 0.6051  4 O 1.52-1.57
P 0.2500 0.8580 0.8949  4 O 1.52-1.57
O 0.7500 0.0506 0.9307  1 P 1.52
O 0.0625 0.7711 0.3773  1 P 1.57
O 0.4375 0.7711 0.3773  1 P 1.57
O 0.2500 0.9927 0.7448  1 P 1.53
O 0.5625 0.2289 0.6227  1 P 1.57
O 0.7500 0.0073 0.2552  1 P 1.53
O 0.4375 0.7289 0.8773  1 P 1.57
O 0.5625 0.2711 0.1227  1 P 1.57
O 0.9375 0.2711 0.1227  1 P 1.57
O 0.0625 0.7289 0.8773  1 P 1.57
O 0.7500 0.8749 0.5671  2 Cu 1.96, 1 In 2.10
O 0.2500 0.3749 0.9329  2 Cu 1.96, 1 In 2.10
O 0.2500 0.1251 0.4329  2 Cu 1.96, 1 In 2.10
O 0.7500 0.4494 0.4307  1 P 1.52
O 0.2500 0.5073 0.2448  1 P 1.53
O 0.2500 0.9494 0.0693  1 P 1.52
O 0.2500 0.5506 0.5693  1 P 1.52
O 0.7500 0.6251 0.0671  2 Cu 1.96, 1 In 2.10
O 0.7500 0.4927 0.7552  1 P 1.53
O 0.9375 0.2289 0.6227  1 P 1.57